Material: NaTbZnTe3
Method: DFT, PBE
State: relaxed

Computed properties:
energy relative to the lowest polymorph listed for this composition	0.4	meV per atom
electronic total energy	-3.764	eV per atom

a b c (Å): 11.6359 4.3162 14.7286
angles (deg): 90.00 90.00 90.00
With the nearest neighbours (Å) after each atom.
Atoms (fractional coordinates):
Na: 0.2329 0.2500 0.0142  6 Te 3.31-3.43
Na: 0.2671 0.7500 0.5142  6 Te 3.31-3.43
Na: 0.7329 0.2500 0.4858  6 Te 3.31-3.43
Na: 0.7671 0.7500 0.9858  6 Te 3.31-3.43
Tb: 0.0107 0.7500 0.7464  6 Te 3.08-3.17
Tb: 0.4893 0.2500 0.2464  6 Te 3.08-3.17
Tb: 0.5107 0.7500 0.7536  6 Te 3.08-3.17
Tb: 0.9893 0.2500 0.2536  6 Te 3.08-3.17
Zn: 0.2413 0.7500 0.2199  4 Te 2.66-2.74
Zn: 0.2587 0.2500 0.7199  4 Te 2.66-2.74
Zn: 0.7413 0.7500 0.2801  4 Te 2.66-2.74
Zn: 0.7587 0.2500 0.7801  4 Te 2.66-2.74
Te: 0.0565 0.7500 0.1130  1 Zn 2.67
Te: 0.0796 0.2500 0.6074  1 Zn 2.66
Te: 0.2410 0.2500 0.3342  2 Zn 2.74
Te: 0.2590 0.7500 0.8342  2 Zn 2.74
Te: 0.4204 0.7500 0.1074  1 Zn 2.66
Te: 0.4435 0.2500 0.6130  1 Zn 2.67
Te: 0.5565 0.7500 0.3870  1 Zn 2.67
Te: 0.5796 0.2500 0.8926  1 Zn 2.66
Te: 0.7410 0.2500 0.1658  2 Zn 2.74
Te: 0.7590 0.7500 0.6658  2 Zn 2.74
Te: 0.9204 0.7500 0.3926  1 Zn 2.66
Te: 0.9435 0.2500 0.8870  1 Zn 2.67